[1]
A relaxed structure of Na2CaHPd. Source: the Alexandria database, functional PBE.

a b c (Å): 4.430 4.430 5.013
angles (deg): 90.00 90.00 90.00
Space group P4/mmm (No. 123)
Asymmetric unit:
Na: 0.000 0.500 0.000
Ca: 0.000 0.000 0.500
H: 0.000 0.000 0.000
Pd: 0.500 0.500 0.500

Results
crystal system	tetragonal
energy	-14.17	eV/f.u.
magnetic moment	0.000	μB/cell

[2]
A relaxed structure of Ho2B2Rh5Au. Source: the Alexandria database, functional PBE.

a b c (Å): 9.583 9.583 3.232
angles (deg): 90.00 90.00 90.00
Space group P4/mbm (No. 127)
Asymmetric unit:
Ho: 0.177 0.323 0.000
B: 0.123 0.623 0.000
Rh: 0.000 0.500 0.500
Rh: 0.071 0.773 0.500
Au: 0.000 0.000 0.000

Results
formation energy from the elements	-16.2	kcal/mol of atoms
crystal system	tetragonal
magnetic moment	0.000	μB/cell

[3]
A relaxed structure of MgAgPd4. Source: the Alexandria database, functional PBE.

a b c (Å): 7.535 4.638 5.542
angles (deg): 90.00 95.35 90.00
Space group C2/m (No. 12)
Asymmetric unit:
Mg: 0.000 0.000 0.000
Ag: 0.000 0.000 0.500
Pd: 0.166 0.500 0.660
Pd: 0.167 0.500 0.157

Results
energy above the lowest structure with this stoichiometry	46.8	meV per atom
formation energy from the elements	-6.0	kcal/mol of atoms
crystal system	monoclinic
magnetic moment	0.000	μB/cell

[4]
A relaxed structure of Y5ScN6. Source: the Alexandria database, functional PBE.

a b c (Å): 5.952 10.312 5.949
angles (deg): 90.00 109.46 90.00
Space group C2/m (No. 12)
Asymmetric unit:
Y: 0.000 0.000 0.000
Y: 0.000 0.167 0.500
Y: 0.000 0.335 0.000
Sc: 0.000 0.500 0.500
N: 0.243 0.500 0.255
N: 0.244 0.338 0.745

Results
crystal system	monoclinic
energy relative to the elements, uncorrected	-20.4	eV/f.u.
magnetic moment	0.000	μB/cell

[5]
A relaxed structure of KHg2PdBr6. Source: the Alexandria database, functional PBE.

a b c (Å): 6.933 7.367 7.779
angles (deg): 75.22 78.59 76.55
Space group P1 (No. 1)
Asymmetric unit:
K: 0.000 0.000 0.000
Hg: 0.355 0.430 0.998
Hg: 0.730 0.491 0.361
Pd: 0.639 0.946 0.681
Br: 0.361 0.457 0.340
Br: 0.368 0.742 0.741
Br: 0.487 0.066 0.976
Br: 0.831 0.792 0.418
Br: 0.894 0.170 0.584
Br: 0.927 0.469 0.017

Results
crystal system	triclinic
energy relative to the elements, uncorrected	-5.9	eV/f.u.
magnetic moment	1.023	μB/cell

[6]
A relaxed structure of Sc12Al3Zn. Source: the Alexandria database, functional PBE.

a b c (Å): 4.418 4.418 17.669
angles (deg): 90.00 90.00 90.00
Space group P4/mmm (No. 123)
Asymmetric unit:
Sc: 0.000 0.000 0.000
Sc: 0.000 0.000 0.249
Sc: 0.000 0.000 0.500
Sc: 0.000 0.500 0.124
Sc: 0.000 0.500 0.375
Al: 0.500 0.500 0.249
Al: 0.500 0.500 0.500
Zn: 0.500 0.500 0.000

Results
formation energy from the elements	-4.9	kcal/mol of atoms
crystal system	tetragonal
magnetic moment	3.002	μB/cell

[7]
A relaxed structure of YTaBr2. Source: the Alexandria database, functional PBE.

a b c (Å): 7.506 7.506 7.506
angles (deg): 90.00 90.00 90.00
Space group F-43m (No. 216)
Asymmetric unit:
Y: 0.000 0.000 0.000
Ta: 0.250 0.250 0.250
Br: 0.000 0.000 0.500
Br: 0.250 0.250 0.750

Results
energy above the lowest structure with this stoichiometry	995.8	meV per atom
crystal system	cubic
energy relative to the elements, uncorrected	2.1	eV/f.u.
magnetic moment	21.577	μB/cell

[8]
A relaxed structure of NdZn5. Source: the Alexandria database, functional PBE.

a b c (Å): 5.4018 5.4018 4.2344
angles (deg): 90.00 90.00 120.00
Space group P6/mmm (No. 191)
Asymmetric unit:
Nd: 0.0000 0.0000 0.0000
Zn: 0.0000 0.5000 0.5000
Zn: 0.3333 0.6667 0.0000

Results
formation energy from the elements	-6.8	kcal/mol of atoms
crystal system	hexagonal
magnetic moment	0.000	μB/cell